Below is a geometry-optimized Ca8Sb5Te structure, with properties calculated at the PBE-GGA level.

a = 8.233 Å, b = 8.233 Å, c = 8.233 Å
α = 109.53°, β = 109.53°, γ = 109.36°
Fractional positions:
Ca  0.025  0.127  0.753
Ca  0.235  0.481  0.602
Ca  0.367  0.765  0.247
Ca  0.374  0.272  0.247
Ca  0.519  0.121  0.753
Ca  0.728  0.975  0.102
Ca  0.873  0.626  0.898
Ca  0.879  0.633  0.398
Sb  0.129  0.005  0.378
Sb  0.249  0.871  0.876
Sb  0.500  0.500  0.000
Sb  0.627  0.751  0.622
Sb  0.995  0.373  0.124
Te  0.750  0.250  0.500

Values from the calculation:
As for the total moment: 0.00 μB per formula unit. The formation energy from raw total energies is -1.1022 eV/atom. The density of states at the Fermi level is 8.01 states/eV/f.u.